KRbTl2Ni | PBE | relaxed

The structure in POSCAR format:
```
KRbTl2Ni
1.0
-1.5965 4.8344 1.1679
-4.5107 -0.8907 -2.4788
-2.4623 -2.0758 5.2264
K Rb Tl Ni
1 1 2 1
direct
0.0000 0.0000 0.5000
0.5000 0.5000 0.5000
0.0000 0.5000 0.0000
0.5000 0.0000 0.0000
0.0000 0.0000 0.0000
```

Values from the calculation:
As for the density of states at the Fermi level: 2.93 states/eV/f.u. The energy above the most stable polymorph in this dataset is 0.000 eV/f.u. The value obtained for the total magnetization is 0.00 μB per formula unit.

=====

KReNi2 | PBE | relaxed

The structure in POSCAR format:
```
KReNi2
1.0
-3.6872 2.5103 -0.3415
-4.4544 -0.0297 -0.4129
-1.2655 0.1926 6.7440
Ni Re K
2 1 1
direct
0.2576 0.2576 0.2657
0.9746 0.9746 0.0929
0.5235 0.5235 0.3746
0.7443 0.7443 0.7669
```

Values from the calculation:
As for the density of states at the Fermi level: 4.40 states/eV/f.u. The energy above the most stable polymorph in this dataset is 1.031 eV/f.u. The value obtained for the total magnetization is 0.00 μB per formula unit.

=====

KReNi2 | PBE | relaxed

The structure in POSCAR format:
```
KReNi2
1.0
-0.8616 -1.3596 2.1336
1.9768 -1.7684 -0.3287
5.3328 4.9718 5.3218
K Re Ni
1 1 2
direct
0.5000 0.5000 0.7698
0.0000 0.0000 0.4327
0.0000 0.0000 0.0605
0.5000 0.5000 0.2370
```

Values from the calculation:
As for the density of states at the Fermi level: 5.62 states/eV/f.u. The energy above the most stable polymorph in this dataset is 0.944 eV/f.u. The value obtained for the total magnetization is 0.00 μB per formula unit.

=====

KReNi | PBE | relaxed

The structure in POSCAR format:
```
KReNi
1.0
2.8062 0.0000 0.0000
-1.4031 2.4303 0.0000
0.0000 0.0000 7.8282
K Re Ni
1 1 1
direct
0.0000 0.0000 0.0092
0.3333 0.6667 0.6189
0.6667 0.3333 0.3719
```

Values from the calculation:
As for the density of states at the Fermi level: 4.14 states/eV/f.u. The energy above the most stable polymorph in this dataset is 1.365 eV/f.u. The value obtained for the total magnetization is 0.00 μB per formula unit.

=====

Copy entry 3 word for word.
KReNi2 | PBE | relaxed

The structure in POSCAR format:
```
KReNi2
1.0
-0.8616 -1.3596 2.1336
1.9768 -1.7684 -0.3287
5.3328 4.9718 5.3218
K Re Ni
1 1 2
direct
0.5000 0.5000 0.7698
0.0000 0.0000 0.4327
0.0000 0.0000 0.0605
0.5000 0.5000 0.2370
```

Values from the calculation:
As for the density of states at the Fermi level: 5.62 states/eV/f.u. The energy above the most stable polymorph in this dataset is 0.944 eV/f.u. The value obtained for the total magnetization is 0.00 μB per formula unit.